# 1
! HoGePd | Alexandria | PBE-GGA | optimized geometry; values from VASP
&SYSTEM
  ibrav = 0, nat = 3, ntyp = 3
/
ATOMIC_SPECIES
Ge 72.64 Ge.upf
Ho 164.93 Ho.upf
Pd 106.42 Pd.upf
ATOMIC_POSITIONS angstrom
Ge 1.894 1.894 0.973
Ho 1.894 1.894 3.801
Pd 0.000 0.000 2.531
CELL_PARAMETERS angstrom
3.787 0.000 0.000
0.000 3.787 0.000
-1.894 -1.894 4.297
! magnetization	0.00	μB/f.u.
! energy	-5.39	eV/atom
! space-group type	I4mm


# 2
! HoGePd2 | Alexandria | PBE-GGA | optimized geometry; values from VASP
&SYSTEM
  ibrav = 0, nat = 4, ntyp = 3
/
ATOMIC_SPECIES
Ge 72.64 Ge.upf
Ho 164.93 Ho.upf
Pd 106.42 Pd.upf
ATOMIC_POSITIONS angstrom
Ge 1.929 0.000 0.000
Ho 1.929 2.175 2.175
Pd 0.000 0.000 2.175
Pd 0.000 2.175 0.000
CELL_PARAMETERS angstrom
3.858 0.000 0.000
0.000 4.350 0.000
0.000 0.000 4.350
! magnetization	0.00	μB/f.u.
! energy	-5.58	eV/atom
! space-group type	P4/mmm


# 3
! Ho3Ge4Pd | Alexandria | PBE-GGA | optimized geometry; values from VASP
&SYSTEM
  ibrav = 0, nat = 8, ntyp = 3
/
ATOMIC_SPECIES
Ho 164.93 Ho.upf
Ge 72.64 Ge.upf
Pd 106.42 Pd.upf
ATOMIC_POSITIONS angstrom
Ho -1.488 0.755 2.279
Ho -2.124 -2.176 4.923
Ho 1.623 -1.805 1.658
Ge -2.217 0.711 5.145
Ge -1.395 -2.132 2.057
Ge -0.025 -3.656 3.457
Ge -3.588 2.235 3.745
Pd -1.372 -1.576 -0.373
CELL_PARAMETERS angstrom
-2.744 -3.153 -0.747
3.247 -3.611 3.317
-4.115 5.343 4.632
! magnetization	0.00	μB/f.u.
! energy	-5.36	eV/atom
! space-group type	Immm


# 4
! HoGePd3 | Alexandria | PBE-GGA | optimized geometry; values from VASP
&SYSTEM
  ibrav = 0, nat = 10, ntyp = 3
/
ATOMIC_SPECIES
Ho 164.93 Ho.upf
Ge 72.64 Ge.upf
Pd 106.42 Pd.upf
ATOMIC_POSITIONS angstrom
Ho -1.131 2.974 0.689
Ho -0.395 5.291 4.211
Ge 0.000 0.000 0.000
Ge -1.364 1.183 4.517
Pd -1.729 3.257 5.780
Pd -2.748 -0.472 3.342
Pd -0.704 0.563 2.234
Pd -0.277 1.384 6.710
Pd 0.807 2.539 3.858
Pd -2.934 2.777 3.109
CELL_PARAMETERS angstrom
-2.945 3.800 -1.885
-4.148 -2.099 2.248
4.965 3.614 6.603
! magnetization	0.00	μB/f.u.
! energy	-5.39	eV/atom
! excess energy over the best structure of this formula in the dataset	277	meV/atom
! space-group type	I-4m2


# 5
! HoGe3Pd2 | Alexandria | PBE-GGA | optimized geometry; values from VASP
&SYSTEM
  ibrav = 0, nat = 12, ntyp = 3
/
ATOMIC_SPECIES
Ho 164.93 Ho.upf
Ge 72.64 Ge.upf
Pd 106.42 Pd.upf
ATOMIC_POSITIONS angstrom
Ho 0.478 0.672 1.626
Ho 2.824 5.882 2.111
Ge 2.384 3.078 0.614
Ge -0.210 2.610 -0.716
Ge 1.412 1.008 4.806
Ge 1.889 5.546 -1.069
Ge 3.512 3.944 4.454
Ge 0.918 3.476 3.124
Pd 1.864 1.250 -1.153
Pd 1.437 5.305 4.891
Pd 0.229 4.735 0.780
Pd 3.072 1.819 2.958
CELL_PARAMETERS angstrom
4.056 0.000 -1.192
-1.025 6.386 -3.489
0.271 0.169 8.418
! magnetization	0.00	μB/f.u.
! energy	-5.37	eV/atom
! space-group type	C2/m


# 6
! HoGePd | Alexandria | PBE-GGA | optimized geometry; values from VASP
&SYSTEM
  ibrav = 0, nat = 6, ntyp = 3
/
ATOMIC_SPECIES
Ho 164.93 Ho.upf
Ge 72.64 Ge.upf
Pd 106.42 Pd.upf
ATOMIC_POSITIONS angstrom
Ho 1.115 -3.749 5.035
Ho 1.675 -4.676 8.313
Ge 1.193 -1.606 7.271
Ge 1.597 -6.819 6.077
Pd 2.199 -6.906 10.314
Pd 0.591 -1.520 3.034
CELL_PARAMETERS angstrom
-1.245 -4.264 3.502
3.023 -3.797 2.904
1.011 -0.364 6.942
! magnetization	0.00	μB/f.u.
! energy	-5.70	eV/atom
! space-group type	C2/m